The following is a PBE calculation of a geometry-optimized ErLu2O structure, from the Alexandria database.

```
data_ErLu2O
_chemical_formula_sum 'Er1 Lu2 O1'
_symmetry_space_group_name_H-M 'P 1'
_symmetry_Int_Tables_number 1
_cell_length_a 3.1426
_cell_length_b 3.1426
_cell_length_c 8.4452
_cell_angle_alpha 90.00
_cell_angle_beta 90.00
_cell_angle_gamma 90.00
loop_
_symmetry_equiv_pos_as_xyz
'x,y,z'
loop_
_atom_site_label
_atom_site_fract_x
_atom_site_fract_y
_atom_site_fract_z
_atom_site_occupancy
Er1 0.5000 0.5000 0.5000 1
Lu1 0.0000 0.0000 0.8183 1
Lu2 0.0000 0.0000 0.1817 1
O1 0.5000 0.5000 0.0000 1
```

Output
For the distance to the lowest polymorph of the same formula, the calculation gives 357 meV/atom. The calculation puts the uncorrected formation energy at -0.822 eV per atom.

---

The following is a PBE calculation of a geometry-optimized Tb3Pr3Ho8 structure, from the Alexandria database.

```
data_Tb3Pr3Ho8
_chemical_formula_sum 'Tb3 Pr3 Ho8'
_symmetry_space_group_name_H-M 'P 1'
_symmetry_Int_Tables_number 1
_cell_length_a 5.6635
_cell_length_b 9.7011
_cell_length_c 9.7011
_cell_angle_alpha 102.20
_cell_angle_beta 73.02
_cell_angle_gamma 73.02
loop_
_symmetry_equiv_pos_as_xyz
'x,y,z'
loop_
_atom_site_label
_atom_site_fract_x
_atom_site_fract_y
_atom_site_fract_z
_atom_site_occupancy
Pr1 0.0000 0.1846 0.8154 1
Pr2 0.0000 0.8154 0.1846 1
Pr3 0.5000 0.0000 0.0000 1
Ho1 0.8414 0.5563 0.7609 1
Ho2 0.3388 0.8811 0.4414 1
Ho3 0.1586 0.2391 0.4437 1
Ho4 0.6612 0.1189 0.5586 1
Ho5 0.1586 0.4437 0.2391 1
Ho6 0.3388 0.4414 0.8811 1
Ho7 0.6612 0.5586 0.1189 1
Ho8 0.8414 0.7609 0.5563 1
Tb1 0.2028 0.7969 0.7969 1
Tb2 0.5000 0.5000 0.5000 1
Tb3 0.7972 0.2031 0.2031 1
```

Output
The calculation puts the energy of formation at 1.485 eV/f.u.